Computed, not measured: an optimized crystal structure of Al2SbO at the GGA-PBEsol level of DFT.

a b c (Å): 6.361 6.361 6.361
angles (deg): 90.00 90.00 90.00
Space group Fm-3m (No. 225)
Symmetry-distinct sites (fractional):
Al (0.250, 0.250, 0.250)
Sb (0.000, 0.000, 0.000)
O (0.000, 0.000, 0.500)

Computed properties:
The value obtained for the raw total energy is -4.483 eV per atom. The calculation puts the calculated density at 4.95 Mg/m³.

***

Computed, not measured: an optimized crystal structure of AlSbO2 at the GGA-PBEsol level of DFT.

a b c (Å): 5.885 5.885 5.885
angles (deg): 90.00 90.00 90.00
Space group Fm-3m (No. 225)
Symmetry-distinct sites (fractional):
Al (0.000, 0.000, 0.000)
Sb (0.000, 0.000, 0.500)
O (0.250, 0.250, 0.250)

Computed properties:
The value obtained for the raw total energy is -5.193 eV per atom. The calculation puts the calculated density at 5.89 Mg/m³.

***

Computed, not measured: an optimized crystal structure of AlSbO3 at the GGA-PBEsol level of DFT.

a b c (Å): 5.081 10.995 5.400
angles (deg): 90.00 90.00 90.00
Space group P2_1 (No. 4)
Symmetry-distinct sites (fractional):
Al (0.005, 0.000, 0.085)
Al (0.495, 0.528, 0.585)
Sb (0.004, 0.710, 0.431)
Sb (0.496, 0.818, 0.930)
O (0.004, 0.597, 0.162)
O (0.149, 0.356, 0.944)
O (0.162, 0.569, 0.659)
O (0.338, 0.959, 0.158)
O (0.351, 0.172, 0.443)
O (0.497, 0.930, 0.661)

Computed properties:
The value obtained for the raw total energy is -6.965 eV per atom. The calculation puts the calculated density at 4.33 Mg/m³.

***

Computed, not measured: an optimized crystal structure of Sr2AlSbO6 at the GGA-PBEsol level of DFT.

a b c (Å): 7.773 7.773 7.773
angles (deg): 90.00 90.00 90.00
Space group Fm-3m (No. 225)
Symmetry-distinct sites (fractional):
Sr (0.250, 0.250, 0.250)
Al (0.000, 0.000, 0.000)
Sb (0.000, 0.000, 0.500)
O (0.000, 0.000, 0.246)

Computed properties:
The value obtained for the raw total energy is -6.970 eV per atom. The calculation puts the calculated density at 5.94 Mg/m³.

***

Computed, not measured: an optimized crystal structure of ScAl3O at the GGA-PBEsol level of DFT.

a b c (Å): 4.227 4.227 4.227
angles (deg): 90.00 90.00 90.00
Space group Pm-3m (No. 221)
Symmetry-distinct sites (fractional):
Sc (0.000, 0.000, 0.000)
Al (0.000, 0.500, 0.500)
O (0.500, 0.500, 0.500)

Computed properties:
The value obtained for the raw total energy is -5.456 eV per atom. The calculation puts the calculated density at 3.12 Mg/m³.

***

Computed, not measured: an optimized crystal structure of Sm3Sc2Al3O12 at the GGA-PBEsol level of DFT.

a b c (Å): 12.443 12.443 12.443
angles (deg): 90.00 90.00 90.00
Space group Ia-3d (No. 230)
Symmetry-distinct sites (fractional):
Sm (0.000, 0.250, 0.125)
Sc (0.000, 0.000, 0.000)
Al (0.000, 0.250, 0.375)
O (0.033, 0.056, 0.656)

Computed properties:
The value obtained for the raw total energy is -8.597 eV per atom. The calculation puts the calculated density at 5.61 Mg/m³.

***

Computed, not measured: an optimized crystal structure of Tm3Sc2Al3O12 at the GGA-PBEsol level of DFT.

a b c (Å): 12.194 12.194 12.194
angles (deg): 90.00 90.00 90.00
Space group Ia-3d (No. 230)
Symmetry-distinct sites (fractional):
Tm (0.000, 0.250, 0.125)
Sc (0.000, 0.000, 0.000)
Al (0.000, 0.250, 0.375)
O (0.030, 0.059, 0.657)

Computed properties:
The value obtained for the raw total energy is -8.622 eV per atom. The calculation puts the calculated density at 6.37 Mg/m³.

***

Computed, not measured: an optimized crystal structure of Al2Se3O12 at the GGA-PBEsol level of DFT.

a b c (Å): 8.3282 8.3282 22.3972
angles (deg): 90.00 90.00 120.00
Space group R-3 (No. 148, hexagonal axes)
Symmetry-distinct sites (fractional):
Al (0.0000, 0.0000, 0.1424)
Al (0.0000, 0.0000, 0.3510)
Se (0.0025, 0.2870, 0.7489)
O (0.0173, 0.8168, 0.1865)
O (0.0363, 0.1909, 0.0883)
O (0.0912, 0.2143, 0.3995)
O (0.0963, 0.2161, 0.6969)

Computed properties:
The energy above the lowest structure with this stoichiometry is 0 meV per atom. The calculation puts the calculated density at 3.58 Mg/m³.

***

Computed, not measured: an optimized crystal structure of Al2Se3O12 at the GGA-PBEsol level of DFT.

a b c (Å): 11.778 8.621 8.602
angles (deg): 90.00 90.00 90.00
Space group Pbcn (No. 60)
Symmetry-distinct sites (fractional):
Al (0.121, 0.250, 0.041)
Se (0.000, 0.019, 0.750)
Se (0.148, 0.410, 0.376)
O (0.019, 0.350, 0.412)
O (0.045, 0.127, 0.894)
O (0.107, 0.091, 0.193)
O (0.152, 0.398, 0.886)
O (0.191, 0.371, 0.197)
O (0.232, 0.331, 0.508)

Computed properties:
The energy above the lowest structure with this stoichiometry is 23 meV per atom. The calculation puts the calculated density at 3.67 Mg/m³.

***

Computed, not measured: an optimized crystal structure of AlTe2SeO at the GGA-PBEsol level of DFT.

a b c (Å): 5.227 5.227 4.696
angles (deg): 90.00 90.00 90.00
Space group P4/mmm (No. 123)
Symmetry-distinct sites (fractional):
Al (0.000, 0.000, 0.000)
Te (0.000, 0.500, 0.000)
Se (0.000, 0.000, 0.500)
O (0.500, 0.500, 0.500)

Computed properties:
The value obtained for the raw total energy is -3.323 eV per atom. The calculation puts the calculated density at 4.88 Mg/m³.

***

Computed, not measured: an optimized crystal structure of AlTlSiO4 at the GGA-PBEsol level of DFT.

a b c (Å): 8.192 5.419 9.521
angles (deg): 90.00 90.00 90.00
Space group Pnma (No. 62)
Symmetry-distinct sites (fractional):
Al (0.190, 0.250, 0.093)
Tl (0.016, 0.750, 0.320)
Si (0.212, 0.750, 0.932)
O (0.017, 0.750, 0.938)
O (0.213, 0.007, 0.514)
O (0.220, 0.250, 0.273)

Computed properties:
The energy above the lowest structure with this stoichiometry is 0 meV per atom. The calculation puts the calculated density at 5.08 Mg/m³.